VASP calculation (PBE) on an optimized crystal structure of HfNi6Sn.

Cell: 7.4561 10.5502 10.5484 Å, 90.00 90.00 90.00°
Last column: nearest neighbours and their distance in Å.
Space group Cmmm (No. 65)
Asymmetric unit:
Hf1 0.0000 0.0000 0.2489 [4 per cell]  12 Ni 2.62-2.65
Hf2 0.0000 0.2471 0.0000 [4 per cell]  12 Ni 2.61-2.67
Ni1 0.0000 0.0000 0.0000 [2 per cell]  4 Hf 2.61-2.63, 8 Ni 2.63
Ni2 0.0000 0.0000 0.5000 [2 per cell]  2 Sn 2.61, 8 Ni 2.63, 2 Hf 2.65
Ni3 0.0000 0.2484 0.2491 [8 per cell]  8 Ni 2.62-2.65, 2 Hf 2.62-2.63, 2 Sn 2.65
Ni4 0.0000 0.5000 0.0000 [2 per cell]  2 Sn 2.62, 8 Ni 2.64, 2 Hf 2.67
Ni5 0.0000 0.5000 0.5000 [2 per cell]  8 Ni 2.63, 4 Sn 2.65-2.67
Ni6 0.2493 0.1258 0.1246 [16 per cell]  3 Hf 2.61-2.65, 8 Ni 2.62-2.65, 1 Sn 2.64
Ni7 0.2504 0.1238 0.3747 [16 per cell]  8 Ni 2.61-2.66, 3 Sn 2.63-2.66, 1 Hf 2.64
Sn1 0.0000 0.2471 0.5000 [4 per cell]  12 Ni 2.61-2.67
Sn2 0.0000 0.5000 0.2486 [4 per cell]  12 Ni 2.62-2.65

Results
The total energy is -411.8 eV/cell. The value obtained for the formation energy is -354 meV per atom. The total moment is 0.0 μB/f.u. As for the energy relative to the lowest polymorph listed for this composition: 0.000 eV/atom.